Below is a crystal of HfCrPdSe2 relaxed with PBEsol, with properties calculated at the meta-GGA SCAN level.

Final energy, eV per cell: -151.60
Formation energy (no corrections), eV per atom: 0.478
D(E_F), states/eV per atom: 0.69
Spin magnetization, μB per cell: 4.80

Lattice parameters (Å, degrees): 4.969 4.969 5.069 90.00 90.00 90.00
Space group P4/mmm (No. 123)
Symmetry-distinct sites (fractional):
Hf  0.000  0.000  0.000 x1
Cr  0.000  0.000  0.500 x1
Pd  0.500  0.500  0.500 x1
Se  0.000  0.500  0.000 x2

Below is a crystal of Hf3CrRe relaxed with PBEsol, with properties calculated at the meta-GGA SCAN level.

Final energy, eV per cell: -274.03
Formation enthalpy at 0 K, kJ/mol of atoms: 67.03
D(E_F), states/eV per atom: 1.22
Spin magnetization, μB per cell: 4.15

Lattice parameters (Å, degrees): 4.967 4.967 4.967 90.00 90.00 90.00
Space group Pm-3m (No. 221)
Symmetry-distinct sites (fractional):
Hf  0.000  0.000  0.500 x3
Cr  0.500  0.500  0.500 x1
Re  0.000  0.000  0.000 x1

Below is a crystal of HfCrSbSe2 relaxed with PBEsol, with properties calculated at the meta-GGA SCAN level.

Final energy, eV per cell: -157.21
Formation energy (no corrections), eV per atom: 0.253
D(E_F), states/eV per atom: 0.70
Spin magnetization, μB per cell: 0.00

Lattice parameters (Å, degrees): 4.478 4.478 5.232 90.00 90.00 90.00
Space group P4/mmm (No. 123)
Symmetry-distinct sites (fractional):
Hf  0.000  0.000  0.000 x1
Cr  0.000  0.000  0.500 x1
Sb  0.500  0.500  0.000 x1
Se  0.000  0.500  0.500 x2

Below is a crystal of SrHfSc2Cr relaxed with PBEsol, with properties calculated at the meta-GGA SCAN level.

Final energy, eV per cell: -123.81
Formation enthalpy at 0 K, kJ/mol of atoms: 154.32
D(E_F), states/eV per atom: 0.97
Spin magnetization, μB per cell: 2.21

Lattice parameters (Å, degrees): 4.953 4.953 4.696 90.00 90.00 90.00
Space group P4/mmm (No. 123)
Symmetry-distinct sites (fractional):
Sr  0.000  0.000  0.000 x1
Hf  0.500  0.500  0.500 x1
Sc  0.000  0.500  0.000 x2
Cr  0.000  0.000  0.500 x1

Below is a crystal of HfScCrTe2 relaxed with PBEsol, with properties calculated at the meta-GGA SCAN level.

Final energy, eV per cell: -167.35
Formation energy (no corrections), eV per atom: 0.489
D(E_F), states/eV per atom: 0.62
Spin magnetization, μB per cell: 5.25

Lattice parameters (Å, degrees): 5.426 5.426 5.131 90.00 90.00 90.00
Space group P4/mmm (No. 123)
Symmetry-distinct sites (fractional):
Hf  0.000  0.000  0.000 x1
Sc  0.000  0.000  0.500 x1
Cr  0.500  0.500  0.500 x1
Te  0.000  0.500  0.000 x2

Below is a crystal of HfCrSi2 relaxed with PBEsol, with properties calculated at the meta-GGA SCAN level.

Final energy, eV per cell: -1240.72
Formation energy (no corrections), eV per atom: -0.576
D(E_F), states/eV per atom: 0.42
Spin magnetization, μB per cell: 0.00

Lattice parameters (Å, degrees): 8.944 9.621 7.927 90.00 90.00 90.00
Space group Pbam (No. 55)
Symmetry-distinct sites (fractional):
Hf  0.169  0.180  0.000 x4
Hf  0.172  0.452  0.246 x8
Cr  0.000  0.000  0.244 x4
Cr  0.079  0.753  0.248 x8
Si  0.039  0.620  0.000 x4
Si  0.040  0.626  0.500 x4
Si  0.113  0.902  0.500 x4
Si  0.126  0.896  0.000 x4
Si  0.171  0.181  0.350 x8